First-principles (GGA-PBE) data for HgTeS2 after structural relaxation, as listed in Alexandria via LeMat-Bulk.

The structure belongs to space group R-3m (No. 166, hexagonal axes); the cell edges are 3.8136, 3.8136 and 31.3885 Å and the angles 90.00°, 90.00° and 120.00°. The asymmetric unit holds Hg at (0.0000, 0.0000, 0.0000), Te at (0.0000, 0.0000, 0.5000) and S at (0.0000, 0.0000, 0.1171).

The volume is 395.3 Å³ per cell. The calculation puts the energy above the most stable polymorph in this dataset at 0.0048 eV/atom. For the formation energy without anion corrections, the calculation gives 0.09 eV/atom.